The following is a PBE-GGA calculation of crystalline LaYSc2Fe at its relaxed geometry, from Alexandria.

The energy above the most stable polymorph in this dataset comes out at 0.0000 eV/atom. As for the density of states at the Fermi level: 5.95 states/eV/cell. The energy of formation from the pure elements comes out at 33 meV/atom. The space group is P4/mmm. The total moment comes out at 0.0 μB per cell. The value obtained for the electronic total energy is -32.4 eV/cell.

Geometry as POSCAR:
```
LaYSc2Fe
1.0
-2.755 -3.468 -2.379
3.569 -3.432 0.870
-2.324 -1.266 4.538
Y Sc Fe La
1 2 1 1
Direct
0.000 0.000 0.500 Y
0.000 0.500 0.000 Sc
0.500 0.000 0.000 Sc
0.000 0.000 0.000 Fe
0.500 0.500 0.500 La
```